Crystalline KTl2PtAu at its relaxed geometry. Source: Alexandria, functional PBE.

Calculated values
- VASP energy: -0.223 Ry per atom
- Formation enthalpy at 0 K: -0.008 eV per atom
- SG: P4/mmm (123)

a = 5.275 Å, b = 5.275 Å, c = 6.096 Å
α = 90.00°, β = 90.00°, γ = 90.00°
Sites, in units of the cell vectors:
K (0.000, 0.000, 0.500)
Tl (0.500, 0.000, 0.000)
Pt (0.000, 0.000, 0.000)
Au (0.500, 0.500, 0.500)
Tl (0.000, 0.500, 0.000)


Crystalline Fe2SbSe at its relaxed geometry. Source: Alexandria, functional PBE.

Calculated values
- Formation energy without anion corrections: 42.4 kJ/mol of atoms
- VASP energy: -0.418 Ry per atom
- SG: Immm (71)

a = 5.083 Å, b = 5.083 Å, c = 5.083 Å
α = 142.39°, β = 116.49°, γ = 76.22°
Each line ends with the local moment (μB).
Sites, in units of the cell vectors:
Fe (0.481, 0.481, 0.000)  2.63
Fe (0.019, 0.019, 0.000)  2.63
Sb (0.750, 0.250, 0.500)  -0.03
Se (0.250, 0.750, 0.500)  0.10


Crystalline ErCu4Os at its relaxed geometry. Source: Alexandria, functional PBE.

Calculated values
- VASP energy: -0.394 Ry per atom
- Formation enthalpy at 0 K: 0.003 eV per atom
- SG: F-43m (216)

a = 4.946 Å, b = 4.946 Å, c = 4.946 Å
α = 60.00°, β = 60.00°, γ = 60.00°
Sites, in units of the cell vectors:
Cu (0.624, 0.624, 0.128)
Os (0.250, 0.250, 0.250)
Cu (0.624, 0.624, 0.624)
Cu (0.128, 0.624, 0.624)
Cu (0.624, 0.128, 0.624)
Er (0.000, 0.000, 0.000)